[1]
Material: Pr7Sm2Er2
Method: DFT, PBE-GGA
State: optimized geometry

Cell lengths 6.398, 6.398, 10.245 Å; angles 91.10, 91.10, 113.19 degrees
Sites, in units of the cell vectors:
Pr 0.000 0.000 0.000
Pr 0.179 0.586 0.150
Pr 0.188 0.188 0.366
Pr 0.414 0.821 0.850
Pr 0.586 0.179 0.150
Pr 0.812 0.812 0.634
Pr 0.821 0.414 0.850
Sm 0.289 0.289 0.703
Sm 0.711 0.711 0.297
Er 0.272 0.728 0.500
Er 0.728 0.272 0.500

Calculated values
The value obtained for the energy relative to the lowest polymorph listed for this composition is 0.000 eV per atom. As for the crystal system: monoclinic. The formation energy comes out at 9 kJ/mol of atoms. As for the space-group type: No. 12. The calculation puts the calculated total energy at -50.98 eV for the cell shown.

***

[2]
Material: PrSm3Er8
Method: DFT, PBE-GGA
State: optimized geometry

Cell lengths 8.445, 8.445, 8.445 Å; angles 100.03, 95.88, 136.34 degrees
Sites, in units of the cell vectors:
Pr 0.000 0.000 0.000
Sm 0.412 0.663 0.749
Sm 0.500 0.000 0.500
Sm 0.914 0.663 0.251
Er 0.418 0.335 0.419
Er 0.418 0.999 0.083
Er 0.496 0.328 0.832
Er 0.496 0.665 0.168
Er 0.916 0.335 0.917
Er 0.916 0.999 0.581
Er 0.996 0.329 0.333
Er 0.996 0.663 0.667

Calculated values
As for the crystal system: orthorhombic. The formation energy comes out at 2 kJ/mol of atoms. As for the space-group type: No. 44. The calculation puts the calculated total energy at -55.24 eV for the cell shown.

***

[3]
Material: Pr8Sm6Er
Method: DFT, PBE-GGA
State: optimized geometry

Cell lengths 8.367, 8.367, 8.367 Å; angles 73.40, 73.40, 73.40 degrees
Sites, in units of the cell vectors:
Pr 0.087 0.087 0.087
Pr 0.146 0.570 0.274
Pr 0.274 0.146 0.570
Pr 0.430 0.726 0.854
Pr 0.570 0.274 0.146
Pr 0.726 0.854 0.430
Pr 0.854 0.430 0.726
Pr 0.913 0.913 0.913
Sm 0.111 0.783 0.579
Sm 0.217 0.421 0.889
Sm 0.421 0.889 0.217
Sm 0.579 0.111 0.783
Sm 0.783 0.579 0.111
Sm 0.889 0.217 0.421
Er 0.500 0.500 0.500

Calculated values
The value obtained for the energy relative to the lowest polymorph listed for this composition is 0.000 eV per atom. As for the crystal system: trigonal. The formation energy comes out at 15 kJ/mol of atoms. As for the space-group type: No. 148. The calculation puts the calculated total energy at -68.83 eV for the cell shown.

***

[4]
Material: Pr2Sm5Er12
Method: DFT, PBE-GGA
State: optimized geometry

Cell lengths 9.084, 9.084, 8.594 Å; angles 91.63, 91.63, 61.40 degrees
Sites, in units of the cell vectors:
Pr 0.180 0.820 0.000
Pr 0.820 0.180 0.000
Sm 0.203 0.203 0.014
Sm 0.269 0.269 0.426
Sm 0.500 0.500 0.500
Sm 0.731 0.731 0.574
Sm 0.797 0.797 0.986
Er 0.057 0.057 0.333
Er 0.061 0.682 0.342
Er 0.170 0.527 0.757
Er 0.318 0.939 0.658
Er 0.417 0.417 0.122
Er 0.473 0.830 0.243
Er 0.527 0.170 0.757
Er 0.583 0.583 0.878
Er 0.682 0.061 0.342
Er 0.830 0.473 0.243
Er 0.939 0.318 0.658
Er 0.943 0.943 0.667

Calculated values
The value obtained for the energy relative to the lowest polymorph listed for this composition is 0.110 eV per atom. As for the crystal system: monoclinic. The formation energy comes out at 13 kJ/mol of atoms. As for the space-group type: No. 12. The calculation puts the calculated total energy at -85.42 eV for the cell shown.

***

[5]
Material: Pr2Sm2Er5
Method: DFT, PBE-GGA
State: optimized geometry

Cell lengths 10.134, 10.134, 10.134 Å; angles 84.59, 108.40, 141.13 degrees
Sites, in units of the cell vectors:
Pr 0.004 0.127 0.130
Pr 0.004 0.373 0.377
Pr 0.996 0.627 0.623
Pr 0.996 0.873 0.870
Sm 0.452 0.452 0.000
Sm 0.452 0.952 0.500
Sm 0.538 0.799 0.240
Sm 0.559 0.299 0.760
Er 0.096 0.101 0.495
Er 0.098 0.475 0.908
Er 0.098 0.690 0.123
Er 0.405 0.201 0.311
Er 0.405 0.594 0.705
Er 0.567 0.190 0.092
Er 0.567 0.975 0.877
Er 0.606 0.601 0.505
Er 0.890 0.094 0.689
Er 0.890 0.701 0.295

Calculated values
The value obtained for the energy relative to the lowest polymorph listed for this composition is 0.000 eV per atom. As for the crystal system: orthorhombic. The formation energy comes out at 20 kJ/mol of atoms. As for the space-group type: No. 46. The calculation puts the calculated total energy at -79.92 eV for the cell shown.

***

[6]
Material: PrSm2Er
Method: DFT, PBE-GGA
State: optimized geometry

Cell lengths 5.764, 5.764, 5.764 Å; angles 60.00, 60.00, 60.00 degrees
Sites, in units of the cell vectors:
Pr 0.000 0.000 0.000
Sm 0.250 0.250 0.250
Sm 0.750 0.750 0.750
Er 0.500 0.500 0.500

Calculated values
The value obtained for the energy relative to the lowest polymorph listed for this composition is 0.129 eV per atom. As for the crystal system: cubic. The formation energy comes out at 14 kJ/mol of atoms. As for the space-group type: No. 225. The calculation puts the calculated total energy at -18.19 eV for the cell shown.

***

[7]
Material: Pr5Sm4Er3
Method: DFT, PBE-GGA
State: optimized geometry

Cell lengths 8.723, 8.723, 9.514 Å; angles 114.98, 114.98, 40.24 degrees
Sites, in units of the cell vectors:
Pr 0.000 0.000 0.000
Pr 0.085 0.085 0.447
Pr 0.220 0.220 0.881
Pr 0.780 0.780 0.119
Pr 0.915 0.915 0.553
Sm 0.329 0.329 0.612
Sm 0.427 0.427 0.298
Sm 0.573 0.573 0.702
Sm 0.671 0.671 0.388
Er 0.210 0.210 0.232
Er 0.500 0.500 0.000
Er 0.790 0.790 0.768

Calculated values
As for the crystal system: monoclinic. The formation energy comes out at 20 kJ/mol of atoms. As for the space-group type: No. 12. The calculation puts the calculated total energy at -53.98 eV for the cell shown.

***

[8]
Material: Pr7Sm2Er3
Method: DFT, PBE-GGA
State: optimized geometry

Cell lengths 5.936, 3.657, 19.220 Å; angles 90.00, 93.89, 90.00 degrees
Sites, in units of the cell vectors:
Pr 0.000 0.000 0.000
Pr 0.173 0.500 0.183
Pr 0.259 0.500 0.535
Pr 0.331 0.000 0.855
Pr 0.669 0.000 0.145
Pr 0.741 0.500 0.465
Pr 0.827 0.500 0.817
Sm 0.297 0.500 0.701
Sm 0.703 0.500 0.299
Er 0.215 0.000 0.368
Er 0.500 0.500 0.000
Er 0.785 0.000 0.632

Calculated values
The value obtained for the energy relative to the lowest polymorph listed for this composition is 0.025 eV per atom. As for the crystal system: monoclinic. The formation energy comes out at 9 kJ/mol of atoms. As for the space-group type: No. 10. The calculation puts the calculated total energy at -55.50 eV for the cell shown.

***

[9]
Material: PrSmEr
Method: DFT, PBE-GGA
State: optimized geometry

Cell lengths 8.271, 8.271, 3.477 Å; angles 90.00, 90.00, 90.49 degrees
Sites, in units of the cell vectors:
Pr 0.240 0.760 0.000
Pr 0.760 0.240 0.000
Sm 0.261 0.261 0.500
Sm 0.739 0.739 0.500
Er 0.000 0.000 0.500
Er 0.500 0.500 0.000

Calculated values
The value obtained for the energy relative to the lowest polymorph listed for this composition is 0.598 eV per atom. As for the crystal system: orthorhombic. The formation energy comes out at 60 kJ/mol of atoms. As for the space-group type: No. 65. The calculation puts the calculated total energy at -24.40 eV for the cell shown.

***

[10]
Material: PrSm8Er2
Method: DFT, PBE-GGA
State: optimized geometry

Cell lengths 9.047, 9.047, 6.707 Å; angles 98.92, 98.92, 43.81 degrees
Sites, in units of the cell vectors:
Pr 0.000 0.000 0.000
Sm 0.174 0.647 0.589
Sm 0.244 0.244 0.311
Sm 0.353 0.826 0.411
Sm 0.408 0.408 0.089
Sm 0.592 0.592 0.911
Sm 0.647 0.174 0.589
Sm 0.756 0.756 0.689
Sm 0.826 0.353 0.411
Er 0.204 0.204 0.801
Er 0.796 0.796 0.199

Calculated values
The value obtained for the energy relative to the lowest polymorph listed for this composition is 0.152 eV per atom. As for the crystal system: monoclinic. The formation energy comes out at 16 kJ/mol of atoms. As for the space-group type: No. 12. The calculation puts the calculated total energy at -49.79 eV for the cell shown.

***

[11]
Material: PrSm7Er12
Method: DFT, PBE-GGA
State: optimized geometry

Cell lengths 8.695, 8.695, 8.695 Å; angles 95.19, 95.19, 95.19 degrees
Sites, in units of the cell vectors:
Pr 0.000 0.000 0.000
Sm 0.018 0.084 0.355
Sm 0.084 0.355 0.018
Sm 0.355 0.018 0.084
Sm 0.500 0.500 0.500
Sm 0.645 0.982 0.916
Sm 0.916 0.645 0.982
Sm 0.982 0.916 0.645
Er 0.147 0.416 0.481
Er 0.188 0.748 0.320
Er 0.252 0.680 0.812
Er 0.320 0.188 0.748
Er 0.416 0.481 0.147
Er 0.481 0.147 0.416
Er 0.519 0.853 0.584
Er 0.584 0.519 0.853
Er 0.680 0.812 0.252
Er 0.748 0.320 0.188
Er 0.812 0.252 0.680
Er 0.853 0.584 0.519

Calculated values
The value obtained for the energy relative to the lowest polymorph listed for this composition is 0.000 eV per atom. As for the crystal system: trigonal. The formation energy comes out at 29 kJ/mol of atoms. As for the space-group type: No. 148. The calculation puts the calculated total energy at -86.65 eV for the cell shown.

***

[12]
Material: PrSm4Er6
Method: DFT, PBE-GGA
State: optimized geometry

Cell lengths 10.955, 10.955, 3.527 Å; angles 90.00, 90.00, 120.00 degrees
Sites, in units of the cell vectors:
Pr 0.000 0.000 0.000
Sm 0.333 0.667 0.000
Sm 0.397 0.199 0.500
Sm 0.801 0.199 0.500
Sm 0.801 0.603 0.500
Er 0.008 0.504 0.000
Er 0.171 0.343 0.500
Er 0.171 0.829 0.500
Er 0.496 0.504 0.000
Er 0.496 0.992 0.000
Er 0.657 0.829 0.500

Calculated values
The value obtained for the energy relative to the lowest polymorph listed for this composition is 0.000 eV per atom. As for the crystal system: hexagonal. The formation energy comes out at 15 kJ/mol of atoms. As for the space-group type: No. 187. The calculation puts the calculated total energy at -49.33 eV for the cell shown.

***

[13]
Material: Pr9Sm2Er
Method: DFT, PBE-GGA
State: optimized geometry

Cell lengths 5.206, 5.206, 15.615 Å; angles 90.00, 90.00, 90.00 degrees
Sites, in units of the cell vectors:
Pr 0.000 0.000 0.000
Pr 0.000 0.000 0.332
Pr 0.000 0.000 0.668
Pr 0.000 0.500 0.165
Pr 0.000 0.500 0.500
Pr 0.000 0.500 0.835
Pr 0.500 0.000 0.165
Pr 0.500 0.000 0.500
Pr 0.500 0.000 0.835
Sm 0.500 0.500 0.332
Sm 0.500 0.500 0.668
Er 0.500 0.500 0.000

Calculated values
As for the crystal system: tetragonal. The formation energy comes out at 1 kJ/mol of atoms. As for the space-group type: No. 123. The calculation puts the calculated total energy at -56.85 eV for the cell shown.

***

[14]
Material: Pr12Sm3Er
Method: DFT, PBE-GGA
State: optimized geometry

Cell lengths 5.212, 5.212, 20.808 Å; angles 90.00, 90.00, 90.00 degrees
Sites, in units of the cell vectors:
Pr 0.000 0.000 0.000
Pr 0.000 0.000 0.249
Pr 0.000 0.000 0.500
Pr 0.000 0.000 0.751
Pr 0.000 0.500 0.123
Pr 0.000 0.500 0.375
Pr 0.000 0.500 0.625
Pr 0.000 0.500 0.877
Pr 0.500 0.000 0.123
Pr 0.500 0.000 0.375
Pr 0.500 0.000 0.625
Pr 0.500 0.000 0.877
Sm 0.500 0.500 0.249
Sm 0.500 0.500 0.500
Sm 0.500 0.500 0.751
Er 0.500 0.500 0.000

Calculated values
As for the crystal system: tetragonal. The formation energy comes out at 1 kJ/mol of atoms. As for the space-group type: No. 123. The calculation puts the calculated total energy at -75.88 eV for the cell shown.

***

[15]
Material: Pr2Sm5Er4
Method: DFT, PBE-GGA
State: optimized geometry

Cell lengths 11.942, 11.942, 8.818 Å; angles 104.28, 104.28, 17.34 degrees
Sites, in units of the cell vectors:
Pr 0.090 0.090 0.224
Pr 0.910 0.910 0.776
Sm 0.000 0.000 0.500
Sm 0.273 0.273 0.687
Sm 0.363 0.363 0.406
Sm 0.637 0.637 0.594
Sm 0.727 0.727 0.313
Er 0.182 0.182 0.954
Er 0.453 0.453 0.137
Er 0.547 0.547 0.863
Er 0.818 0.818 0.046

Calculated values
The value obtained for the energy relative to the lowest polymorph listed for this composition is 0.000 eV per atom. As for the crystal system: monoclinic. The formation energy comes out at 2 kJ/mol of atoms. As for the space-group type: No. 12. The calculation puts the calculated total energy at -51.15 eV for the cell shown.

***

[16]
Material: Pr4SmEr7
Method: DFT, PBE-GGA
State: optimized geometry

Cell lengths 6.751, 6.751, 12.835 Å; angles 114.85, 114.85, 51.88 degrees
Sites, in units of the cell vectors:
Pr 0.137 0.137 0.277
Pr 0.279 0.279 0.835
Pr 0.721 0.721 0.165
Pr 0.863 0.863 0.723
Sm 0.500 0.500 0.500
Er 0.000 0.000 0.500
Er 0.132 0.132 0.995
Er 0.289 0.289 0.577
Er 0.430 0.430 0.188
Er 0.570 0.570 0.812
Er 0.711 0.711 0.423
Er 0.868 0.868 0.005

Calculated values
The value obtained for the energy relative to the lowest polymorph listed for this composition is 0.171 eV per atom. As for the crystal system: monoclinic. The formation energy comes out at 25 kJ/mol of atoms. As for the space-group type: No. 12. The calculation puts the calculated total energy at -52.69 eV for the cell shown.

***

[17]
Material: Pr5Sm2Er4
Method: DFT, PBE-GGA
State: optimized geometry

Cell lengths 12.813, 12.813, 12.813 Å; angles 164.07, 137.85, 45.33 degrees
Sites, in units of the cell vectors:
Pr 0.000 0.000 0.000
Pr 0.056 0.355 0.701
Pr 0.345 0.645 0.701
Pr 0.655 0.355 0.299
Pr 0.944 0.645 0.299
Sm 0.269 0.769 0.500
Sm 0.731 0.231 0.500
Er 0.316 0.500 0.816
Er 0.404 0.904 0.500
Er 0.596 0.096 0.500
Er 0.684 0.500 0.184

Calculated values
The value obtained for the energy relative to the lowest polymorph listed for this composition is 0.100 eV per atom. As for the crystal system: orthorhombic. The formation energy comes out at 17 kJ/mol of atoms. As for the space-group type: No. 71. The calculation puts the calculated total energy at -49.68 eV for the cell shown.

***

[18]
Material: Pr2SmEr5
Method: DFT, PBE-GGA
State: optimized geometry

Cell lengths 9.509, 9.509, 6.531 Å; angles 97.07, 97.07, 62.76 degrees
Sites, in units of the cell vectors:
Pr 0.169 0.675 0.886
Pr 0.325 0.831 0.614
Pr 0.675 0.169 0.386
Pr 0.831 0.325 0.114
Sm 0.000 0.500 0.000
Sm 0.500 0.000 0.500
Er 0.012 0.188 0.646
Er 0.188 0.012 0.146
Er 0.214 0.392 0.475
Er 0.392 0.214 0.975
Er 0.441 0.559 0.250
Er 0.559 0.441 0.750
Er 0.608 0.786 0.025
Er 0.786 0.608 0.525
Er 0.812 0.988 0.854
Er 0.988 0.812 0.354

Calculated values
The value obtained for the energy relative to the lowest polymorph listed for this composition is 0.154 eV per atom. As for the crystal system: monoclinic. The formation energy comes out at 17 kJ/mol of atoms. As for the space-group type: No. 15. The calculation puts the calculated total energy at -71.35 eV for the cell shown.

***

[19]
Material: Pr2Sm3Er2
Method: DFT, PBE-GGA
State: optimized geometry

Cell lengths 3.628, 6.235, 10.852 Å; angles 95.37, 90.04, 106.79 degrees
Sites, in units of the cell vectors:
Pr 0.216 0.432 0.355
Pr 0.784 0.568 0.645
Sm 0.357 0.717 0.931
Sm 0.500 0.000 0.500
Sm 0.643 0.283 0.069
Er 0.070 0.140 0.788
Er 0.930 0.860 0.212

Calculated values
The value obtained for the energy relative to the lowest polymorph listed for this composition is 0.000 eV per atom. As for the crystal system: triclinic. The formation energy comes out at 2 kJ/mol of atoms. As for the space-group type: No. 2. The calculation puts the calculated total energy at -32.73 eV for the cell shown.